No. 1
Compound: MgIn2I6
Source: the Alexandria database
Functional: PBE-GGA
Structure: relaxed

Computed properties:
- Energy relative to the lowest polymorph listed for this composition: 0 meV/atom
- Uncorrected energy: -2.46 eV per atom
- ΔE_f (raw): -0.6405 eV per atom

a b c (Å): 7.5586 7.5586 23.8512
angles (deg): 90.00 90.00 120.00
Last column: nearest neighbours and their distance in Å.
Space group R3 (No. 146, hexagonal axes)
Inequivalent atoms, fractional coordinates:
Mg1 0.0000 0.0000 0.0000 [3 per cell]  6 I 2.95
In1 0.0000 0.0000 0.3323 [3 per cell]  6 I 2.97
In2 0.0000 0.0000 0.5094 [3 per cell]  6 I 3.43-3.55
I1 0.0004 0.3506 0.7352 [9 per cell]  1 Mg 2.95, 1 In 2.97
I2 0.0035 0.6319 0.5929 [9 per cell]  1 Mg 2.95, 1 In 2.97

No. 2
Compound: Ce3Mg2Au3
Source: the Alexandria database
Functional: PBE-GGA
Structure: relaxed

Computed properties:
- Energy relative to the lowest polymorph listed for this composition: 76 meV/atom
- D(E_F): 34.355 states/eV/cell
- Uncorrected energy: -4.30 eV per atom
- DFT formation energy: -0.4519 eV/atom

a b c (Å): 4.3240 4.6277 18.5540
angles (deg): 90.00 90.00 90.00
Last column: nearest neighbours and their distance in Å.
Space group Immm (No. 71)
Inequivalent atoms, fractional coordinates:
Ce1 0.0000 0.0000 0.0000 [2 per cell]  4 Ce 3.13, 4 Au 3.17
Ce2 0.0000 0.5000 0.1139 [4 per cell]  6 Au 3.02-3.24, 2 Ce 3.13, 2 Mg 3.35
Mg1 0.0000 0.0000 0.2480 [4 per cell]  4 Au 2.81-2.97
Au1 0.0000 0.0000 0.5000 [2 per cell]  8 Ce 3.02-3.17
Au2 0.0000 0.5000 0.3485 [4 per cell]  4 Mg 2.81-2.97

No. 3
Compound: OsPbSe2
Source: the Alexandria database
Functional: PBE-GGA
Structure: relaxed

Computed properties:
- D(E_F): 7.511 states/eV/cell
- Uncorrected energy: -4.91 eV per atom
- ΔE_f (raw): 0.5644 eV per atom

a b c (Å): 2.9961 2.9961 35.6061
angles (deg): 90.00 90.00 120.00
Last column: nearest neighbours and their distance in Å.
Space group R-3m (No. 166, hexagonal axes)
Inequivalent atoms, fractional coordinates:
Os1 0.0000 0.0000 0.0000 [3 per cell]  2 Se 2.37
Pb1 0.0000 0.0000 0.5000 [3 per cell]  6 Pb 3.00
Se1 0.0000 0.0000 0.0667 [6 per cell]  1 Os 2.37

No. 4
Compound: AlAsPb
Source: the Alexandria database
Functional: PBE-GGA
Structure: relaxed

Computed properties:
- Energy relative to the lowest polymorph listed for this composition: 302 meV/atom
- D(E_F): 5.104 states/eV/cell
- Uncorrected energy: -3.80 eV per atom
- DFT formation energy: 0.2367 eV/atom

a b c (Å): 6.9321 6.9321 6.9321
angles (deg): 90.00 90.00 90.00
Last column: nearest neighbours and their distance in Å.
Space group F-43m (No. 216)
Inequivalent atoms, fractional coordinates:
Al1 0.0000 0.0000 0.0000 [4 per cell]  4 As 3.00
As1 0.2500 0.2500 0.2500 [4 per cell]  4 Al 3.00, 4 Pb 3.00
Pb1 0.0000 0.0000 0.5000 [4 per cell]  4 As 3.00

No. 5
Compound: ReMoC2
Source: the Alexandria database
Functional: PBE-GGA
Structure: relaxed

Computed properties:
- Energy relative to the lowest polymorph listed for this composition: 47 meV/atom
- D(E_F): 15.845 states/eV/cell
- Uncorrected energy: -9.83 eV per atom
- DFT formation energy: 0.6026 eV/atom

a b c (Å): 4.6629 4.6629 9.3931
angles (deg): 90.00 90.00 90.00
Last column: nearest neighbours and their distance in Å.
Space group I-42d (No. 122)
Inequivalent atoms, fractional coordinates:
Re1 0.0000 0.0000 0.0000 [4 per cell]  4 C 1.99
Mo1 0.0000 0.0000 0.5000 [4 per cell]  4 C 2.05
C1 0.2389 0.2500 0.1250 [8 per cell]  2 Re 1.99, 2 Mo 2.05

No. 6
Compound: Cs2LiS
Source: the Alexandria database
Functional: PBE-GGA
Structure: relaxed

Computed properties:
- Energy relative to the lowest polymorph listed for this composition: 428 meV/atom
- D(E_F): 3.224 states/eV/cell
- Uncorrected energy: -2.28 eV per atom
- ΔE_f (raw): -0.3381 eV per atom

a b c (Å): 8.5455 8.5455 8.5455
angles (deg): 90.00 90.00 90.00
Last column: nearest neighbours and their distance in Å.
Space group Fm-3m (No. 225)
Inequivalent atoms, fractional coordinates:
Cs1 0.2500 0.2500 0.2500 [8 per cell]  4 S 3.70, 4 Li 3.70
Li1 0.0000 0.0000 0.0000 [4 per cell]  8 Cs 3.70
S1 0.0000 0.0000 0.5000 [4 per cell]  8 Cs 3.70

No. 7
Compound: Pm5GePd4
Source: the Alexandria database
Functional: PBE-GGA
Structure: relaxed

Computed properties:
- D(E_F): 9.084 states/eV/cell
- Uncorrected energy: -5.66 eV per atom
- DFT formation energy: -0.7424 eV/atom

a b c (Å): 3.6051 3.6051 18.1040
angles (deg): 90.00 90.00 90.00
Last column: nearest neighbours and their distance in Å.
Space group P4/mmm (No. 123)
Inequivalent atoms, fractional coordinates:
Pm1 0.0000 0.0000 0.0000 [1 per cell]  8 Pd 3.11
Pm2 0.0000 0.0000 0.1990 [2 per cell]  8 Pd 3.09-3.13
Pm3 0.0000 0.0000 0.3979 [2 per cell]  4 Ge 3.15, 4 Pd 3.15
Ge1 0.5000 0.5000 0.5000 [1 per cell]  8 Pm 3.15
Pd1 0.5000 0.5000 0.0989 [2 per cell]  8 Pm 3.11-3.13
Pd2 0.5000 0.5000 0.2957 [2 per cell]  8 Pm 3.09-3.15

No. 8
Compound: CsBe2AgCl6
Source: the Alexandria database
Functional: PBE-GGA
Structure: relaxed

Computed properties:
- D(E_F): 0.000 states/eV/cell
- Uncorrected energy: -3.56 eV per atom
- ΔE_f (raw): -1.3335 eV per atom

a b c (Å): 9.9087 16.6330 8.4340
angles (deg): 90.00 109.70 90.00
Last column: nearest neighbours and their distance in Å.
Space group C2/c (No. 15)
Inequivalent atoms, fractional coordinates:
Cs1 0.0000 0.1681 0.2500 [4 per cell]  8 Cl 3.57-3.93
Be1 0.2031 0.3903 0.2216 [8 per cell]  3 Cl 1.90-1.95
Ag1 0.0000 0.4478 0.7500 [4 per cell]  4 Cl 2.66
Cl1 0.0217 0.3764 0.0393 [8 per cell]  1 Be 1.95
Cl2 0.1840 0.2019 0.6884 [8 per cell]  1 Be 1.90
Cl3 0.2353 0.0031 0.6882 [8 per cell]  1 Be 1.94

Copy entry 8 word for word.
Compound: CsBe2AgCl6
Source: the Alexandria database
Functional: PBE-GGA
Structure: relaxed

Computed properties:
- D(E_F): 0.000 states/eV/cell
- Uncorrected energy: -3.56 eV per atom
- ΔE_f (raw): -1.3335 eV per atom

a b c (Å): 9.9087 16.6330 8.4340
angles (deg): 90.00 109.70 90.00
Last column: nearest neighbours and their distance in Å.
Space group C2/c (No. 15)
Inequivalent atoms, fractional coordinates:
Cs1 0.0000 0.1681 0.2500 [4 per cell]  8 Cl 3.57-3.93
Be1 0.2031 0.3903 0.2216 [8 per cell]  3 Cl 1.90-1.95
Ag1 0.0000 0.4478 0.7500 [4 per cell]  4 Cl 2.66
Cl1 0.0217 0.3764 0.0393 [8 per cell]  1 Be 1.95
Cl2 0.1840 0.2019 0.6884 [8 per cell]  1 Be 1.90
Cl3 0.2353 0.0031 0.6882 [8 per cell]  1 Be 1.94

- What is the uncorrected energy in the seventh record?
  -5.66 eV per atom

- Look up the uncorrected energy of the second one.
  -4.30 eV per atom

- What is the formula in the fifth record?
  ReMoC2